Record 1
First-principles (GGA-PBE) data for a relaxed structure of Co3W, as listed in Alexandria.

Summary:
Its energy of formation is 125 meV per atom. The energy is -8.443 eV/atom.

Cell: 4.3961 4.3961 2.6303 Å, 90.00 90.00 108.38°
With the nearest neighbours (Å) after each atom.
Element x y z (fractional)
Co 0.0000 0.0000 0.0000  10 Co 2.56-2.63, 2 W 2.57
Co 0.0000 0.5000 0.5000  8 Co 2.56-2.63, 4 W 2.56
Co 0.5000 0.0000 0.5000  4 W 2.56, 8 Co 2.56-2.63
W 0.5000 0.5000 0.0000  10 Co 2.56-2.57, 2 W 2.63

***

Record 2
First-principles (GGA-PBE) data for a relaxed structure of Sc2BeBi, as listed in Alexandria.

Summary:
Its energy of formation is 597 meV per atom. The energy is -4.470 eV/atom.

Cell: 10.8709 10.8709 10.8709 Å, 17.24 17.24 17.24°
With the nearest neighbours (Å) after each atom.
Element x y z (fractional)
Sc 0.9153 0.9153 0.9153  1 Be 2.72
Sc 0.0847 0.0847 0.0847  1 Be 2.72
Bi 0.5000 0.5000 0.5000  6 Sc 3.24, 6 Bi 3.26
Be 0.0000 0.0000 0.0000  2 Sc 2.72

***

Record 3
First-principles (GGA-PBE) data for a relaxed structure of Dy3CoIr8, as listed in Alexandria.

Summary:
Its energy of formation is -483 meV per atom. The energy is -8.133 eV/atom.

Cell: 5.3115 5.3115 9.2188 Å, 73.26 73.26 60.00°
With the nearest neighbours (Å) after each atom.
Element x y z (fractional)
Dy 0.6228 0.6228 0.1316  12 Ir 3.11-3.14, 4 Dy 3.36-3.38
Dy 0.0088 0.0088 0.9737  9 Ir 2.99-3.18
Dy 0.4931 0.4931 0.5207  12 Ir 2.99-3.17, 3 Co 3.09
Ir 0.5606 0.5606 0.8168  6 Ir 2.62-2.67
Ir 0.3104 0.3104 0.0689  6 Ir 2.67-2.68
Ir 0.0619 0.5606 0.8168  6 Ir 2.62-2.67
Ir 0.5606 0.0619 0.8168  6 Ir 2.62-2.67
Ir 0.8091 0.8091 0.5728  6 Ir 2.62-2.67
Ir 0.0592 0.0592 0.3215  1 Co 2.63, 6 Ir 2.65-2.68
Ir 0.0592 0.5602 0.3215  1 Co 2.63, 6 Ir 2.65-2.68
Ir 0.5602 0.0592 0.3215  1 Co 2.63, 6 Ir 2.65-2.68
Co 0.1442 0.1442 0.5673  3 Ir 2.63

***

Record 4
First-principles (GGA-PBE) data for a relaxed structure of NdGaPt, as listed in Alexandria.

Summary:
Its energy of formation is -1039 meV per atom. The energy is -5.651 eV/atom.

Cell: 4.5088 7.1529 7.8365 Å, 90.00 90.00 90.00°
With the nearest neighbours (Å) after each atom.
Element x y z (fractional)
Ga 0.7500 0.3315 0.5757  4 Pt 2.65-2.78
Ga 0.2500 0.1685 0.0757  4 Pt 2.65-2.78
Ga 0.2500 0.6685 0.4243  4 Pt 2.65-2.78
Ga 0.7500 0.8315 0.9243  4 Pt 2.65-2.78
Pt 0.2500 0.2808 0.4029  4 Ga 2.65-2.78
Pt 0.7500 0.2192 0.9029  4 Ga 2.65-2.78
Pt 0.2500 0.7808 0.0971  4 Ga 2.65-2.78
Pt 0.7500 0.7192 0.5971  4 Ga 2.65-2.78
Nd 0.2500 0.5173 0.8022  5 Pt 2.98-3.20, 6 Ga 3.15-3.32
Nd 0.2500 0.0173 0.6978  5 Pt 2.98-3.20, 6 Ga 3.15-3.32
Nd 0.7500 0.9827 0.3022  5 Pt 2.98-3.20, 6 Ga 3.15-3.32
Nd 0.7500 0.4827 0.1978  5 Pt 2.98-3.20, 6 Ga 3.15-3.32

***

Record 5
First-principles (GGA-PBE) data for a relaxed structure of PmPr4Sm6, as listed in Alexandria.

Summary:
Its energy of formation is 389 meV per atom. The energy is -4.355 eV/atom.

Cell: 7.7290 7.7290 8.6963 Å, 116.38 116.38 90.00°
With the nearest neighbours (Å) after each atom.
Element x y z (fractional)
Pr 0.0949 0.7467 0.8416  3 Sm 3.05-3.24
Pr 0.7467 0.0949 0.8416  3 Sm 3.05-3.24
Pr 0.9051 0.9051 0.1584  3 Sm 3.05-3.24
Pr 0.2533 0.2533 0.1584  3 Sm 3.05-3.24
Sm 0.9171 0.4552 0.3723  1 Pr 3.24, 1 Pm 3.57
Sm 0.4552 0.9171 0.3723  1 Pr 3.24, 1 Pm 3.57
Sm 0.0000 0.5000 0.0000  4 Pr 3.05
Sm 0.0829 0.0829 0.6277  1 Pr 3.24, 1 Pm 3.57
Sm 0.5448 0.5448 0.6277  1 Pr 3.24, 1 Pm 3.57
Sm 0.5000 0.0000 0.0000  4 Pr 3.05
Pm 0.5000 0.5000 0.0000  8 Sm 3.57-3.86, 4 Pr 3.72

***

Record 6
First-principles (GGA-PBE) data for a relaxed structure of Tm2Mg2Sc2Tl, as listed in Alexandria.

Summary:
Its energy of formation is 4 meV per atom. The energy is -3.876 eV/atom.

Cell: 5.1800 5.1800 8.2241 Å, 71.64 71.64 60.00°
With the nearest neighbours (Å) after each atom.
Element x y z (fractional)
Tm 0.1441 0.1441 0.5678  3 Tm 3.17, 3 Sc 3.17, 1 Mg 3.24, 1 Tl 3.31
Tm 0.8559 0.8559 0.4322  3 Tm 3.17, 3 Sc 3.17, 1 Mg 3.24, 1 Tl 3.31
Mg 0.7150 0.7150 0.8549  3 Tl 3.19, 4 Sc 3.20-3.37, 1 Tm 3.24
Mg 0.2850 0.2850 0.1451  3 Tl 3.19, 4 Sc 3.20-3.37, 1 Tm 3.24
Tl 0.0000 0.0000 0.0000  6 Mg 3.19, 2 Tm 3.31
Sc 0.4317 0.4317 0.7049  1 Sc 3.14, 3 Tm 3.17, 4 Mg 3.20-3.37
Sc 0.5683 0.5683 0.2951  1 Sc 3.14, 3 Tm 3.17, 4 Mg 3.20-3.37

***

Record 7
First-principles (GGA-PBE) data for a relaxed structure of La3Nd3Al2Ga, as listed in Alexandria.

Summary:
Its energy of formation is -260 meV per atom. The energy is -4.660 eV/atom.

Cell: 3.8209 9.0081 9.0081 Å, 120.00 90.00 90.00°
With the nearest neighbours (Å) after each atom.
Element x y z (fractional)
Nd 0.0000 0.3943 0.0000  4 Al 3.36, 6 La 3.54-3.69, 1 Ga 3.55
Nd 0.0000 0.0000 0.3943  4 Al 3.36, 6 La 3.54-3.69, 1 Ga 3.55
Nd 0.0000 0.6057 0.6057  4 Al 3.36, 6 La 3.54-3.69, 1 Ga 3.55
Al 0.5000 0.6667 0.3333  3 La 3.30, 6 Nd 3.36
Al 0.5000 0.3333 0.6667  3 La 3.30, 6 Nd 3.36
Ga 0.0000 0.0000 0.0000  6 La 3.13
La 0.5000 0.7250 0.0000  2 Ga 3.13, 2 Al 3.30
La 0.5000 0.0000 0.7250  2 Ga 3.13, 2 Al 3.30
La 0.5000 0.2750 0.2750  2 Ga 3.13, 2 Al 3.30

***

Record 8
First-principles (GGA-PBE) data for a relaxed structure of Dy6Y3Ho2Pu, as listed in Alexandria.

Summary:
Its energy of formation is 45 meV per atom. The energy is -5.829 eV/atom.

Cell: 6.1253 6.1253 11.6875 Å, 95.02 95.02 120.01°
With the nearest neighbours (Å) after each atom.
Element x y z (fractional)
Pu 0.0000 0.0000 0.0000  6 Dy 3.49, 6 Ho 3.54
Dy 0.4120 0.0823 0.2470  1 Pu 3.49, 6 Dy 3.50-3.56, 2 Ho 3.51, 3 Y 3.55-3.57
Dy 0.9177 0.5880 0.7530  1 Pu 3.49, 6 Dy 3.50-3.56, 2 Ho 3.51, 3 Y 3.55-3.57
Dy 0.5880 0.9177 0.7530  1 Pu 3.49, 6 Dy 3.50-3.56, 2 Ho 3.51, 3 Y 3.55-3.57
Dy 0.7525 0.7525 0.2470  1 Pu 3.49, 6 Dy 3.50-3.56, 2 Ho 3.51, 3 Y 3.55-3.57
Dy 0.2475 0.2475 0.7530  1 Pu 3.49, 6 Dy 3.50-3.56, 2 Ho 3.51, 3 Y 3.55-3.57
Dy 0.0823 0.4120 0.2470  1 Pu 3.49, 6 Dy 3.50-3.56, 2 Ho 3.51, 3 Y 3.55-3.57
Ho 0.3334 0.6666 0.0000  6 Dy 3.51, 3 Ho 3.53-3.54, 3 Pu 3.54
Ho 0.6666 0.3334 0.0000  6 Dy 3.51, 3 Ho 3.53-3.54, 3 Pu 3.54
Y 0.5000 0.5000 0.5000  6 Y 3.53-3.54, 6 Dy 3.55-3.57
Y 0.1672 0.8328 0.5000  6 Y 3.53-3.55, 6 Dy 3.55-3.57
Y 0.8328 0.1672 0.5000  6 Y 3.53-3.55, 6 Dy 3.55-3.57

***

Record 9
First-principles (GGA-PBE) data for a relaxed structure of CdCu2P2, as listed in Alexandria.

Summary:
Its energy of formation is 259 meV per atom. The energy is -3.726 eV/atom.

Cell: 7.6390 7.6390 2.6599 Å, 90.00 90.00 90.00°
With the nearest neighbours (Å) after each atom.
Element x y z (fractional)
P 0.6444 0.1444 0.0000  6 Cu 2.60-2.61, 2 P 2.66
P 0.1444 0.3556 0.0000  6 Cu 2.60-2.61, 2 P 2.66
P 0.3556 0.8556 0.0000  6 Cu 2.60-2.61, 2 P 2.66
P 0.8556 0.6444 0.0000  6 Cu 2.60-2.61, 2 P 2.66
Cd 0.0000 0.0000 0.0000  2 Cd 2.66, 4 P 2.93
Cd 0.5000 0.5000 0.0000  2 Cd 2.66, 4 P 2.93
Cu 0.1479 0.6479 0.5000  6 P 2.60-2.61, 2 Cu 2.66
Cu 0.3521 0.1479 0.5000  6 P 2.60-2.61, 2 Cu 2.66
Cu 0.8521 0.3521 0.5000  6 P 2.60-2.61, 2 Cu 2.66
Cu 0.6479 0.8521 0.5000  6 P 2.60-2.61, 2 Cu 2.66

***

Record 10
First-principles (GGA-PBE) data for a relaxed structure of ZnSI3, as listed in Alexandria.

Summary:
The energy is -1.655 eV/atom. The value obtained for the formation energy without anion corrections is 356 meV per atom.

Cell: 5.5708 5.5708 5.5708 Å, 90.00 90.00 90.00°
With the nearest neighbours (Å) after each atom.
Element x y z (fractional)
I 0.0000 0.5000 0.0000  2 S 2.79
I 0.0000 0.0000 0.5000  2 S 2.79
I 0.5000 0.0000 0.0000  2 S 2.79
S 0.0000 0.0000 0.0000  6 I 2.79
Zn 0.5000 0.5000 0.5000  12 I 3.94

***

How do the records compare in N(E_F)? In the order shown, they have 4.3; 4.7; 16.4; 6.6; 13.8; 6.1; 9.1; 24.8; 3.3; 3.7 states/eV per cell.